Here is a relaxed Pr2NiAs3Rh4 crystal from Alexandria via LeMat-Bulk. Energies are from GGA-PBE. Values from VASP.

The structure in Quantum ESPRESSO input format:
```
&SYSTEM
  ibrav = 0, nat = 10, ntyp = 4
/
ATOMIC_SPECIES
Pr 140.91 Pr.upf
As 74.92 As.upf
Rh 102.91 Rh.upf
Ni 58.69 Ni.upf
ATOMIC_POSITIONS crystal
Pr 0.0000 0.5000 0.7394
Pr 0.5000 0.0000 0.2606
As 0.5000 0.0000 0.8624
As 0.0000 0.0000 0.5000
As 0.0000 0.5000 0.1376
Rh 0.5000 0.0000 0.6238
Rh 0.0000 0.5000 0.3762
Rh 0.0000 0.0000 0.0000
Rh 0.5000 0.5000 0.0000
Ni 0.5000 0.5000 0.5000
CELL_PARAMETERS angstrom
4.2407 0.0000 0.0000
0.0000 4.2407 0.0000
0.0000 0.0000 10.1225
```

Results
Formation enthalpy at 0 K = -829.8 meV per atom
Volume = 182.0 Å³/cell
Energy = -67.0 eV/cell
Spin magnetization = 0.041 μB/atom
Space-group type = No. 115